Record 1
The following is a GGA-PBE calculation of crystalline BaRhO3 at its relaxed geometry, from the Alexandria database.

abc: 5.8296 5.8296 34.0213
angles: 90.00 90.00 120.00
Space group P6_3/mmc (No. 194)
Unique sites:
Ba 0.0000 0.0000 0.1057 (multiplicity 4)
Ba 0.3333 0.6667 0.0379 (multiplicity 4)
Ba 0.3333 0.6667 0.1782 (multiplicity 4)
Ba 0.3333 0.6667 0.7500 (multiplicity 2)
Rh 0.0000 0.0000 0.0000 (multiplicity 2)
Rh 0.0000 0.0000 0.2105 (multiplicity 4)
Rh 0.3333 0.6667 0.5653 (multiplicity 4)
Rh 0.3333 0.6667 0.6451 (multiplicity 4)
O 0.0343 0.5172 0.6058 (multiplicity 12)
O 0.1505 0.3010 0.2500 (multiplicity 6)
O 0.1588 0.3176 0.5361 (multiplicity 12)
O 0.1673 0.3347 0.6782 (multiplicity 12)

Output
Total magnetic moment = 0.994 μB/f.u.
Energy = -447.72 eV for the cell shown



Record 2
The following is a GGA-PBE calculation of crystalline Ba3Rh2O7 at its relaxed geometry, from the Alexandria database.

abc: 4.129 22.568 4.025
angles: 90.00 90.00 90.00
Space group Cmmm (No. 65)
Unique sites:
Ba 0.000 0.000 0.000 (multiplicity 2)
Ba 0.000 0.174 0.000 (multiplicity 4)
Rh 0.000 0.408 0.500 (multiplicity 4)
O 0.000 0.092 0.500 (multiplicity 4)
O 0.000 0.319 0.500 (multiplicity 4)
O 0.000 0.408 0.000 (multiplicity 4)
O 0.000 0.500 0.500 (multiplicity 2)

Output
Total magnetic moment = 2.835 μB/f.u.
Relative energy among the computed polymorphs = 0.678 eV/f.u.



Record 3
The following is a GGA-PBE calculation of crystalline Ba4RhO at its relaxed geometry, from the Alexandria database.

abc: 10.486 8.321 10.761
angles: 90.00 90.00 90.00
Space group Cmcm (No. 63)
Unique sites:
Ba 0.000 0.207 0.058 (multiplicity 8)
Ba 0.189 0.424 0.750 (multiplicity 8)
Rh 0.000 0.093 0.750 (multiplicity 4)
O 0.000 0.391 0.250 (multiplicity 4)

Output
Total magnetic moment = 0.000 μB/f.u.
Relative energy among the computed polymorphs = 0.202 eV/f.u.



Record 4
The following is a GGA-PBE calculation of crystalline Ba3RhO8 at its relaxed geometry, from the Alexandria database.

abc: 6.337 6.337 9.999
angles: 90.00 90.00 90.00
Space group I4/mmm (No. 139)
Unique sites:
Ba 0.000 0.000 0.000 (multiplicity 2)
Ba 0.000 0.500 0.250 (multiplicity 4)
Rh 0.000 0.000 0.500 (multiplicity 2)
O 0.209 0.209 0.404 (multiplicity 16)

Output
Total magnetic moment = 2.898 μB/f.u.
Energy = -132.23 eV for the cell shown



Record 5
The following is a GGA-PBE calculation of crystalline Ba4Rh2O at its relaxed geometry, from the Alexandria database.

abc: 5.253 5.253 15.950
angles: 90.00 90.00 90.00
Space group I4/mmm (No. 139)
Unique sites:
Ba 0.000 0.000 0.182 (multiplicity 4)
Ba 0.000 0.500 0.000 (multiplicity 4)
Rh 0.000 0.000 0.373 (multiplicity 4)
O 0.000 0.000 0.000 (multiplicity 2)

Output
Total magnetic moment = 0.000 μB/f.u.
Energy = -64.10 eV for the cell shown



Record 6
The following is a GGA-PBE calculation of crystalline Ba2RhO3 at its relaxed geometry, from the Alexandria database.

abc: 5.633 12.144 12.740
angles: 90.00 95.44 90.00
Space group C2/c (No. 15)
Unique sites:
Ba 0.230 0.104 0.431 (multiplicity 8)
Ba 0.231 0.199 0.851 (multiplicity 8)
Rh 0.179 0.499 0.321 (multiplicity 8)
O 0.000 0.020 0.750 (multiplicity 4)
O 0.000 0.368 0.750 (multiplicity 4)
O 0.229 0.327 0.369 (multiplicity 8)
O 0.238 0.411 0.961 (multiplicity 8)

Output
Total magnetic moment = 0.000 μB/f.u.
Energy = -293.03 eV for the cell shown



Record 7
The following is a GGA-PBE calculation of crystalline BaRhO3 at its relaxed geometry, from the Alexandria database.

abc: 4.043 4.043 4.043
angles: 90.00 90.00 90.00
Space group Pm-3m (No. 221)
Unique sites:
Ba 0.000 0.000 0.000 (multiplicity 1)
Rh 0.500 0.500 0.500 (multiplicity 1)
O 0.000 0.500 0.500 (multiplicity 3)

Output
Total magnetic moment = 1.366 μB/f.u.
Energy = -31.56 eV for the cell shown



Record 8
The following is a GGA-PBE calculation of crystalline Ba2Rh2O5 at its relaxed geometry, from the Alexandria database.

abc: 15.925 5.949 5.897
angles: 90.00 90.00 90.00
Space group Ima2 (No. 46)
Unique sites:
Ba 0.120 0.007 0.000 (multiplicity 8)
Rh 0.000 0.000 0.501 (multiplicity 4)
Rh 0.250 0.016 0.501 (multiplicity 4)
O 0.015 0.249 0.250 (multiplicity 8)
O 0.129 0.560 0.002 (multiplicity 8)
O 0.250 0.239 0.241 (multiplicity 4)

Output
Total magnetic moment = 1.467 μB/f.u.
Energy = -225.84 eV for the cell shown



Record 9
The following is a GGA-PBE calculation of crystalline Ba12Rh3O5 at its relaxed geometry, from the Alexandria database.

abc: 17.292 17.292 17.292
angles: 90.00 90.00 90.00
Space group Ia-3d (No. 230)
Unique sites:
Ba 0.027 0.051 0.652 (multiplicity 96)
Rh 0.000 0.250 0.125 (multiplicity 24)
O 0.000 0.000 0.000 (multiplicity 16)
O 0.000 0.250 0.375 (multiplicity 24)

Output
Total magnetic moment = 0.125 μB/f.u.
Energy = -757.88 eV for the cell shown



Record 10
The following is a GGA-PBE calculation of crystalline Ba5RhO6 at its relaxed geometry, from the Alexandria database.

abc: 6.637 11.654 6.566
angles: 90.00 108.40 90.00
Space group C2/m (No. 12)
Unique sites:
Ba 0.000 0.000 0.000 (multiplicity 2)
Ba 0.000 0.171 0.500 (multiplicity 4)
Ba 0.000 0.340 0.000 (multiplicity 4)
Rh 0.000 0.500 0.500 (multiplicity 2)
O 0.212 0.500 0.295 (multiplicity 4)
O 0.244 0.164 0.241 (multiplicity 8)

Output
Total magnetic moment = 1.039 μB/f.u.
Energy = -140.13 eV for the cell shown



Record 11
The following is a GGA-PBE calculation of crystalline BaRh2O5 at its relaxed geometry, from the Alexandria database.

abc: 6.031 6.031 11.577
angles: 90.00 90.00 90.00
Space group I4/mcm (No. 140)
Unique sites:
Ba 0.000 0.000 0.250 (multiplicity 4)
Rh 0.178 0.322 0.000 (multiplicity 8)
O 0.000 0.000 0.000 (multiplicity 4)
O 0.150 0.350 0.390 (multiplicity 16)

Output
Total magnetic moment = 0.004 μB/f.u.
Energy = -193.89 eV for the cell shown



Among the records above, which one has the highest total magnetic moment? Ba3RhO8